Computed, not measured: a relaxed structure of HfPaCrS6 at the GGA-PBE level of DFT.

Calculated values
space-group type	P312
E_form (uncorrected)	-1.19	eV/atom

```
data_HfPaCrS6
_chemical_formula_sum 'Hf1 Pa1 Cr1 S6'
_cell_length_a 6.2222
_cell_length_b 6.2222
_cell_length_c 5.9378
_cell_angle_alpha 90.00
_cell_angle_beta 90.00
_cell_angle_gamma 120.00
_symmetry_space_group_name_H-M 'P 1'
_symmetry_Int_Tables_number 1
_symmetry_space_group_name_Hall 'P 1'
loop_
_atom_site_label
_atom_site_type_symbol
_atom_site_fract_x
_atom_site_fract_y
_atom_site_fract_z
Hf1 Hf 0.0000 0.0000 0.0000
Pa1 Pa 0.6667 0.3333 0.5000
Cr1 Cr 0.3333 0.6667 0.0000
S1 S 0.0202 0.3483 0.2361
S2 S 0.0202 0.6718 0.7639
S3 S 0.3282 0.3483 0.7639
S4 S 0.3282 0.9798 0.2361
S5 S 0.6517 0.6718 0.2361
S6 S 0.6517 0.9798 0.7639
```

***

Computed, not measured: a relaxed structure of HfPaCrTc at the GGA-PBE level of DFT.

Calculated values
space-group type	F-43m
D(E_F)	4.832	states/eV/cell
ΔH_f (0 K)	-77	meV/atom

```
data_HfPaCrTc
_chemical_formula_sum 'Hf1 Pa1 Cr1 Tc1'
_cell_length_a 4.6957
_cell_length_b 4.6957
_cell_length_c 4.6957
_cell_angle_alpha 60.00
_cell_angle_beta 60.00
_cell_angle_gamma 60.00
_symmetry_space_group_name_H-M 'P 1'
_symmetry_Int_Tables_number 1
_symmetry_space_group_name_Hall 'P 1'
loop_
_atom_site_label
_atom_site_type_symbol
_atom_site_fract_x
_atom_site_fract_y
_atom_site_fract_z
Hf1 Hf 0.0000 0.0000 0.0000
Pa1 Pa 0.5000 0.5000 0.5000
Cr1 Cr 0.2500 0.2500 0.2500
Tc1 Tc 0.7500 0.7500 0.7500
```

***

Computed, not measured: a relaxed structure of Hf3CrPb at the GGA-PBE level of DFT.

Calculated values
energy above the most stable polymorph in this dataset	1538.3	meV/atom
space-group type	Pm-3m
D(E_F)	11.467	states/eV/cell
ΔH_f (0 K)	2042	meV/atom

```
data_Hf3CrPb
_chemical_formula_sum 'Hf3 Cr1 Pb1'
_cell_length_a 5.2514
_cell_length_b 5.2514
_cell_length_c 5.2514
_cell_angle_alpha 90.00
_cell_angle_beta 90.00
_cell_angle_gamma 90.00
_symmetry_space_group_name_H-M 'P 1'
_symmetry_Int_Tables_number 1
_symmetry_space_group_name_Hall 'P 1'
loop_
_atom_site_label
_atom_site_type_symbol
_atom_site_fract_x
_atom_site_fract_y
_atom_site_fract_z
Hf1 Hf 0.0000 0.0000 0.5000
Hf2 Hf 0.0000 0.5000 0.0000
Hf3 Hf 0.5000 0.0000 0.0000
Cr1 Cr 0.5000 0.5000 0.5000
Pb1 Pb 0.0000 0.0000 0.0000
```

***

Computed, not measured: a relaxed structure of HfCr2Pb at the GGA-PBE level of DFT.

Calculated values
space-group type	I-42d
D(E_F)	10.110	states/eV/cell
ΔH_f (0 K)	910	meV/atom

```
data_HfCr2Pb
_chemical_formula_sum 'Hf2 Cr4 Pb2'
_cell_length_a 6.0972
_cell_length_b 6.0972
_cell_length_c 6.0972
_cell_angle_alpha 103.61
_cell_angle_beta 103.61
_cell_angle_gamma 121.97
_symmetry_space_group_name_H-M 'P 1'
_symmetry_Int_Tables_number 1
_symmetry_space_group_name_Hall 'P 1'
loop_
_atom_site_label
_atom_site_type_symbol
_atom_site_fract_x
_atom_site_fract_y
_atom_site_fract_z
Hf1 Hf 0.0000 0.0000 0.0000
Hf2 Hf 0.7500 0.2500 0.5000
Cr1 Cr 0.1166 0.6250 0.9916
Cr2 Cr 0.3750 0.3666 0.4916
Cr3 Cr 0.6334 0.1250 0.0084
Cr4 Cr 0.8750 0.8834 0.5084
Pb1 Pb 0.2500 0.7500 0.5000
Pb2 Pb 0.5000 0.5000 0.0000
```

***

Computed, not measured: a relaxed structure of Hf2Cr2Pb at the GGA-PBE level of DFT.

Calculated values
energy above the most stable polymorph in this dataset	510.8	meV/atom
space-group type	I4/mmm
D(E_F)	5.511	states/eV/cell
ΔH_f (0 K)	675	meV/atom

```
data_Hf2Cr2Pb
_chemical_formula_sum 'Hf2 Cr2 Pb1'
_cell_length_a 6.1999
_cell_length_b 6.1999
_cell_length_c 6.1999
_cell_angle_alpha 139.47
_cell_angle_beta 139.47
_cell_angle_gamma 58.66
_symmetry_space_group_name_H-M 'P 1'
_symmetry_Int_Tables_number 1
_symmetry_space_group_name_Hall 'P 1'
loop_
_atom_site_label
_atom_site_type_symbol
_atom_site_fract_x
_atom_site_fract_y
_atom_site_fract_z
Hf1 Hf 0.2500 0.7500 0.5000
Hf2 Hf 0.7500 0.2500 0.5000
Cr1 Cr 0.0893 0.0893 0.0000
Cr2 Cr 0.9107 0.9107 0.0000
Pb1 Pb 0.5000 0.5000 0.0000
```

***

Computed, not measured: a relaxed structure of HfCrPb3 at the GGA-PBE level of DFT.

Calculated values
energy above the most stable polymorph in this dataset	0.0	meV/atom
space-group type	Pm-3m
D(E_F)	4.153	states/eV/cell
ΔH_f (0 K)	848	meV/atom

```
data_HfCrPb3
_chemical_formula_sum 'Hf1 Cr1 Pb3'
_cell_length_a 5.6207
_cell_length_b 5.6207
_cell_length_c 5.6207
_cell_angle_alpha 90.00
_cell_angle_beta 90.00
_cell_angle_gamma 90.00
_symmetry_space_group_name_H-M 'P 1'
_symmetry_Int_Tables_number 1
_symmetry_space_group_name_Hall 'P 1'
loop_
_atom_site_label
_atom_site_type_symbol
_atom_site_fract_x
_atom_site_fract_y
_atom_site_fract_z
Hf1 Hf 0.0000 0.0000 0.0000
Cr1 Cr 0.5000 0.5000 0.5000
Pb1 Pb 0.0000 0.0000 0.5000
Pb2 Pb 0.0000 0.5000 0.0000
Pb3 Pb 0.5000 0.0000 0.0000
```

***

Computed, not measured: a relaxed structure of HfCrPb3 at the GGA-PBE level of DFT.

Calculated values
energy above the most stable polymorph in this dataset	87.8	meV/atom
space-group type	Pm-3m
D(E_F)	4.613	states/eV/cell
ΔH_f (0 K)	935	meV/atom

```
data_HfCrPb3
_chemical_formula_sum 'Hf1 Cr1 Pb3'
_cell_length_a 5.1561
_cell_length_b 5.1561
_cell_length_c 5.1561
_cell_angle_alpha 90.00
_cell_angle_beta 90.00
_cell_angle_gamma 90.00
_symmetry_space_group_name_H-M 'P 1'
_symmetry_Int_Tables_number 1
_symmetry_space_group_name_Hall 'P 1'
loop_
_atom_site_label
_atom_site_type_symbol
_atom_site_fract_x
_atom_site_fract_y
_atom_site_fract_z
Hf1 Hf 0.0000 0.0000 0.0000
Cr1 Cr 0.5000 0.5000 0.5000
Pb1 Pb 0.0000 0.5000 0.5000
Pb2 Pb 0.5000 0.0000 0.5000
Pb3 Pb 0.5000 0.5000 0.0000
```

***

Computed, not measured: a relaxed structure of Hf2Cr2Pb at the GGA-PBE level of DFT.

Calculated values
energy above the most stable polymorph in this dataset	0.0	meV/atom
space-group type	P4/mbm
D(E_F)	13.517	states/eV/cell
ΔH_f (0 K)	164	meV/atom

```
data_Hf2Cr2Pb
_chemical_formula_sum 'Hf4 Cr4 Pb2'
_cell_length_a 7.2613
_cell_length_b 7.2613
_cell_length_c 3.5051
_cell_angle_alpha 90.00
_cell_angle_beta 90.00
_cell_angle_gamma 90.00
_symmetry_space_group_name_H-M 'P 1'
_symmetry_Int_Tables_number 1
_symmetry_space_group_name_Hall 'P 1'
loop_
_atom_site_label
_atom_site_type_symbol
_atom_site_fract_x
_atom_site_fract_y
_atom_site_fract_z
Hf1 Hf 0.1842 0.3158 0.0000
Hf2 Hf 0.3158 0.8158 0.0000
Hf3 Hf 0.6842 0.1842 0.0000
Hf4 Hf 0.8158 0.6842 0.0000
Cr1 Cr 0.0991 0.5991 0.5000
Cr2 Cr 0.4009 0.0991 0.5000
Cr3 Cr 0.5991 0.9009 0.5000
Cr4 Cr 0.9009 0.4009 0.5000
Pb1 Pb 0.0000 0.0000 0.5000
Pb2 Pb 0.5000 0.5000 0.5000
```